# 1
DFT (PBE) results for Ac3AlCu3 after structural relaxation.

Cell: 6.0590 6.0590 14.5139 Å, 90.00 90.00 137.57°
Atoms (fractional coordinates):
Ac  0.0040  0.9960  0.7500
Ac  0.2857  0.7143  0.6034
Ac  0.2857  0.7143  0.8966
Ac  0.7143  0.2857  0.1034
Ac  0.7143  0.2857  0.3966
Ac  0.9960  0.0040  0.2500
Al  0.0000  0.0000  0.0000
Al  0.0000  0.0000  0.5000
Cu  0.3007  0.6993  0.2500
Cu  0.4318  0.5682  0.0858
Cu  0.4318  0.5682  0.4142
Cu  0.5682  0.4318  0.5858
Cu  0.5682  0.4318  0.9142
Cu  0.6993  0.3007  0.7500

The value obtained for the formation energy is -0.2067 eV per atom. As for the excess energy over the best structure of this formula in the dataset: 0.000 eV per atom.



# 2
DFT (PBE) results for V2CdCo2 after structural relaxation.

Cell: 7.0431 7.0431 2.7028 Å, 90.00 90.00 90.00°
Atoms (fractional coordinates):
V  0.1617  0.3383  0.0000
V  0.3383  0.8383  0.0000
V  0.6617  0.1617  0.0000
V  0.8383  0.6617  0.0000
Cd  0.0000  0.0000  0.5000
Cd  0.5000  0.5000  0.5000
Co  0.1277  0.6277  0.5000
Co  0.3723  0.1277  0.5000
Co  0.6277  0.8723  0.5000
Co  0.8723  0.3723  0.5000

The value obtained for the formation energy is -0.0002 eV per atom. As for the excess energy over the best structure of this formula in the dataset: 0.000 eV per atom.



# 3
DFT (PBE) results for PdPt2Pb8 after structural relaxation.

Cell: 9.0885 9.0885 8.5588 Å, 98.66 98.66 24.93°
Atoms (fractional coordinates):
Pd  0.0000  0.0000  0.0000
Pt  0.2992  0.2992  0.2415
Pt  0.7008  0.7008  0.7585
Pb  0.0987  0.0987  0.5803
Pb  0.1618  0.1618  0.9839
Pb  0.2991  0.2991  0.6520
Pb  0.4870  0.4870  0.7679
Pb  0.5130  0.5130  0.2321
Pb  0.7009  0.7009  0.3480
Pb  0.8382  0.8382  0.0161
Pb  0.9013  0.9013  0.4197

The value obtained for the formation energy is -0.1246 eV per atom. As for the excess energy over the best structure of this formula in the dataset: 0.005 eV per atom.



# 4
DFT (PBE) results for LaSc2CoBi after structural relaxation.

Cell: 4.9882 4.9882 5.1141 Å, 90.00 90.00 90.00°
Atoms (fractional coordinates):
La  0.0000  0.0000  0.0000
Sc  0.0000  0.5000  0.5000
Sc  0.5000  0.0000  0.5000
Co  0.0000  0.0000  0.5000
Bi  0.5000  0.5000  0.0000

The value obtained for the formation energy is -0.3890 eV per atom.